Entry 1:
FeTeSe2: optimized geometry, GGA-PBE.

Values from the calculation:
total DFT energy (no corrections) = -0.309 Ry per atom

POSCAR file:
```
FeTeSe2
1.0
-1.960 0.732 -3.109
2.373 -2.106 -1.991
-4.573 -6.445 1.366
Fe Se Te
1 2 1
Direct
0.000 0.500 0.500
0.000 0.000 0.000
0.500 0.500 0.000
0.500 0.000 0.500
```

Entry 2:
AgAsOF2: optimized geometry, GGA-PBE.

Values from the calculation:
distance to the lowest polymorph of the same formula = 892 meV per atom
total DFT energy (no corrections) = -0.250 Ry per atom

POSCAR file:
```
AgAsOF2
1.0
-3.694 -1.801 -0.924
1.049 -3.348 2.331
-1.771 1.857 3.464
As O Ag F
1 1 1 2
Direct
0.500 0.500 0.500
0.000 0.000 0.500
0.000 0.000 0.000
0.000 0.500 0.000
0.500 0.000 0.000
```

Entry 3:
Mn2CdIr: optimized geometry, GGA-PBE.

Values from the calculation:
formation energy from the elements = 185 meV/atom
total DFT energy (no corrections) = -0.503 Ry per atom

POSCAR file:
```
Mn2CdIr
1.0
-2.146 3.479 3.391
-1.170 -1.640 4.914
3.761 0.729 -3.678
Cd Ir Mn
1 1 2
Direct
0.497 0.497 0.000
0.233 0.733 0.500
0.010 0.010 0.000
0.759 0.259 0.500
```

Entry 4:
PmTe2P2Pd7: optimized geometry, GGA-PBE.

Values from the calculation:
total DFT energy (no corrections) = -0.393 Ry per atom

POSCAR file:
```
PmTe2P2Pd7
1.0
-2.882 -0.695 -3.447
3.828 0.116 -2.450
1.290 -11.367 0.555
Pm Te P Pd
1 2 2 7
Direct
0.000 0.000 0.000
0.830 0.830 0.387
0.170 0.170 0.613
0.686 0.686 0.817
0.314 0.314 0.183
0.500 0.500 0.000
0.349 0.349 0.392
0.651 0.651 0.608
0.837 0.430 0.218
0.430 0.837 0.218
0.570 0.163 0.782
0.163 0.570 0.782
```

Entry 5:
HgSbOs2: optimized geometry, GGA-PBE.

Values from the calculation:
distance to the lowest polymorph of the same formula = 0 meV per atom
total DFT energy (no corrections) = -0.457 Ry per atom

POSCAR file:
```
HgSbOs2
1.0
2.945 0.000 0.000
0.000 2.945 0.000
0.000 0.000 8.887
Hg Os Sb
1 2 1
Direct
0.500 0.500 0.793
0.000 0.000 0.036
0.500 0.500 0.215
0.000 0.000 0.456
```

Entry 6:
K2Cd2Ir: optimized geometry, GGA-PBE.

Values from the calculation:
formation energy from the elements = 239 meV/atom
total DFT energy (no corrections) = -0.172 Ry per atom

POSCAR file:
```
K2Cd2Ir
1.0
-2.257 1.866 6.544
-6.787 -0.116 -2.308
-0.396 -5.544 1.444
K Ir Cd
4 2 4
Direct
0.181 0.681 0.500
0.681 0.819 0.500
0.819 0.319 0.500
0.319 0.181 0.500
0.000 0.000 0.000
0.500 0.500 0.000
0.343 0.843 0.000
0.843 0.657 0.000
0.657 0.157 0.000
0.157 0.343 0.000
```

Entry 7:
SrPt4: optimized geometry, GGA-PBE.

Values from the calculation:
distance to the lowest polymorph of the same formula = 1351 meV per atom
formation energy from the elements = 1059 meV/atom
total DFT energy (no corrections) = -0.302 Ry per atom

POSCAR file:
```
SrPt4
1.0
-3.085 3.085 3.085
3.085 -3.085 3.085
3.085 3.085 -3.085
Sr Pt
1 4
Direct
0.000 0.000 0.000
0.500 0.000 0.000
0.500 0.500 0.500
0.000 0.500 0.000
0.000 0.000 0.500
```

Entry 8:
Rb3Ce3CoSe8: optimized geometry, GGA-PBE.

Values from the calculation:
total DFT energy (no corrections) = -0.369 Ry per atom

POSCAR file:
```
Rb3Ce3CoSe8
1.0
-1.018 -4.008 -7.324
4.974 -3.283 5.934
-9.303 -0.495 1.564
Rb Ce Co Se
3 3 1 8
Direct
0.000 0.000 0.000
0.000 0.500 0.000
0.500 0.500 0.000
0.500 0.000 0.500
0.500 0.500 0.500
0.000 0.500 0.500
0.000 0.000 0.500
0.266 0.533 0.299
0.734 0.467 0.701
0.782 0.565 0.319
0.218 0.435 0.681
0.782 0.037 0.319
0.218 0.963 0.681
0.255 0.037 0.319
0.745 0.963 0.681
```